Record 1
{
  "formula": "Pr4Zn3Ga",
  "functional": "GGA-PBE",
  "state": "optimized geometry",
  "cell": [[5.034, 0.000, 1.486], [2.298, 4.479, 1.486], [0.044, 0.027, 9.120]],
  "species": ["Pr", "Pr", "Pr", "Pr", "Ga", "Zn", "Zn", "Zn"],
  "frac_coords": [[0.125, 0.125, 0.625], [0.375, 0.375, 0.874], [0.625, 0.625, 0.126], [0.875, 0.875, 0.375], [0.000, 0.000, 0.000], [0.500, 0.500, 0.500], [0.751, 0.751, 0.747], [0.249, 0.249, 0.253]],
  "dft_energy_ev_per_atom": -3.6090,
  "sg": "R-3m, No. 166"
}

Record 2
{
  "formula": "K3Li2PuF9",
  "functional": "GGA-PBE",
  "state": "optimized geometry",
  "cell": [[-4.155, -1.937, 3.731], [4.699, -3.377, -1.201], [3.837, 3.225, 5.948]],
  "species": ["K", "K", "K", "F", "F", "F", "F", "F", "F", "F", "F", "F", "Li", "Li", "Pu"],
  "frac_coords": [[0.667, 0.333, 0.258], [0.000, 0.000, 0.000], [0.333, 0.667, 0.742], [0.167, 0.334, 0.332], [0.000, 0.500, 0.000], [0.666, 0.833, 0.332], [0.334, 0.167, 0.668], [0.500, 0.000, 0.000], [0.167, 0.833, 0.332], [0.500, 0.500, 0.000], [0.833, 0.666, 0.668], [0.833, 0.167, 0.668], [0.667, 0.333, 0.877], [0.333, 0.667, 0.123], [0.000, 0.000, 0.500]],
  "formation_energy_uncorrected_ev_per_atom": -3.05,
  "sg": "P-3m1, No. 164"
}

Record 3
{
  "formula": "La2Ga3Ge4Pd",
  "functional": "GGA-PBE",
  "state": "optimized geometry",
  "cell": [[4.650, 0.000, 0.000], [0.000, 4.650, 0.000], [0.000, 0.000, 9.710]],
  "species": ["Ge", "Ge", "Ge", "Ge", "Ga", "Ga", "Ga", "La", "La", "Pd"],
  "frac_coords": [[0.500, 0.000, 0.624], [0.000, 0.500, 0.376], [0.000, 0.000, 0.000], [0.500, 0.500, 0.000], [0.000, 0.500, 0.119], [0.500, 0.000, 0.881], [0.000, 0.000, 0.500], [0.000, 0.500, 0.744], [0.500, 0.000, 0.256], [0.500, 0.500, 0.500]],
  "dft_energy_ev_per_atom": -4.7734,
  "sg": "P-4m2, No. 115"
}